Entry from Alexandria via LeMat-Bulk: a relaxed HfVCuSi2 crystal (PBE).

abc: 4.425 4.471 4.425
angles: 90.00 90.00 90.00
Sites, in units of the cell vectors:
Si: 0.000 0.000 0.500
Si: 0.500 0.000 0.000
Hf: 0.500 0.500 0.500
Cu: 0.000 0.500 0.000
V: 0.000 0.000 0.000

Values from the calculation:
DOS at the Fermi energy in states/eV/cell: 2.802
Formation energy without anion corrections in eV per atom: 0.49
Spin magnetization in μB per cell: 0.000
Crystal system: tetragonal

---

Entry from Alexandria via LeMat-Bulk: a relaxed NdAl2Co crystal (PBE).

abc: 3.089 3.089 7.483
angles: 90.00 90.00 90.00
Each line ends with the local moment (μB).
Sites, in units of the cell vectors:
Co: 0.500 0.500 0.000  0.77
Nd: 0.500 0.500 0.500  0.05
Al: 0.000 0.000 0.823  0.00
Al: 0.000 0.000 0.177  0.00

Values from the calculation:
DOS at the Fermi energy in states/eV/cell: 3.650
DFT formation energy in eV/atom: -0.314
Spin magnetization in μB per cell: 0.829
Crystal system: tetragonal

---

Entry from Alexandria via LeMat-Bulk: a relaxed KBPb crystal (PBE).

abc: 5.490 11.020 3.981
angles: 99.49 68.81 92.71
Sites, in units of the cell vectors:
Pb: 0.208 0.387 0.777
Pb: 0.730 0.207 0.935
K: 0.173 0.020 0.130
K: 0.707 0.641 0.643
B: 0.464 0.407 0.159
B: 0.763 0.439 0.023

Values from the calculation:
DOS at the Fermi energy in states/eV/cell: 3.239
DFT formation energy in eV/atom: 0.517
Spin magnetization in μB per cell: 0.000
Crystal system: triclinic

---

Entry from Alexandria via LeMat-Bulk: a relaxed BeAgNO2 crystal (PBE).

abc: 4.053 4.053 3.922
angles: 90.00 90.00 90.00
Each line ends with the local moment (μB).
Sites, in units of the cell vectors:
Be: 0.500 0.500 0.500  -0.04
O: 0.000 0.500 0.000  0.11
O: 0.500 0.000 0.000  0.11
Ag: 0.000 0.000 0.000  0.04
N: 0.000 0.000 0.500  0.76

Values from the calculation:
DOS at the Fermi energy in states/eV/cell: 1.402
Formation energy without anion corrections in eV per atom: 1.39
Spin magnetization in μB per cell: 1.241
Crystal system: tetragonal

---

Entry from Alexandria via LeMat-Bulk: a relaxed Mg2PaSb crystal (PBE).

abc: 4.943 4.435 4.435
angles: 90.00 90.00 90.00
Sites, in units of the cell vectors:
Sb: 0.500 0.000 0.000
Mg: 0.000 0.000 0.500
Mg: 0.000 0.500 0.000
Pa: 0.500 0.500 0.500

Values from the calculation:
DOS at the Fermi energy in states/eV/cell: 5.374
Formation energy without anion corrections in eV per atom: -0.16
Spin magnetization in μB per cell: 0.004
Crystal system: tetragonal

---

Entry from Alexandria via LeMat-Bulk: a relaxed Tb5Y3Ho4 crystal (PBE).

abc: 7.106 11.229 12.799
angles: 151.29 56.32 129.29
Sites, in units of the cell vectors:
Tb: 0.333 0.668 0.834
Tb: 0.500 0.000 0.500
Tb: 0.749 0.502 0.001
Tb: 0.251 0.498 0.999
Tb: 0.667 0.332 0.166
Y: 0.586 0.169 0.334
Y: 0.000 0.000 0.500
Y: 0.414 0.831 0.666
Ho: 0.916 0.833 0.667
Ho: 0.833 0.667 0.834
Ho: 0.167 0.333 0.166
Ho: 0.084 0.167 0.333

Values from the calculation:
DOS at the Fermi energy in states/eV/cell: 15.794
DFT formation energy in eV/atom: 0.019
Spin magnetization in μB per cell: 0.000
Crystal system: triclinic